A plane-wave DFT calculation with PBE was carried out for a relaxed structure of Nd2HoSn3.

- DFT total energy: -29.6 eV for the cell shown
- Energy of formation: -0.58 eV/atom

a b c (Å): 5.2151 6.3365 6.9430
angles (deg): 117.15 112.06 90.00
Closest atoms and distances in Å follow each position.
Positions (direct):
Nd (0.6725, 0.1725, 0.3450)  6 Sn 3.18-3.27
Nd (0.3275, 0.8275, 0.6550)  6 Sn 3.18-3.27
Sn (0.0000, 0.0000, 0.0000)  2 Ho 3.17, 4 Nd 3.25
Sn (0.6507, 0.6507, 0.3015)  2 Ho 3.11, 4 Nd 3.18-3.27, 1 Sn 3.38
Sn (0.3493, 0.3493, 0.6985)  2 Ho 3.11, 4 Nd 3.18-3.27, 1 Sn 3.38
Ho (0.0000, 0.5000, 0.0000)  6 Sn 3.11-3.17